Record 1
Ho3Ga4Hg | GGA-PBE | relaxed

a b c (Å): 3.5454 6.3437 16.7330
angles (deg): 90.00 90.00 90.00
Closest atoms and distances in Å follow each position.
Space group Immm (No. 71)
Unique sites:
1 Ho 0.0000 0.0000 0.0000 x2  8 Ga 3.04
2 Ho 0.0000 0.5000 0.2139 x4  6 Ga 2.96-3.01
3 Ga 0.0000 0.2915 0.3753 x8  1 Ga 2.65, 1 Hg 2.79
4 Hg 0.0000 0.0000 0.5000 x2  4 Ga 2.79

Properties
For the magnetic moment, the calculation gives 0.00 Bohr magnetons per cell. For the formation energy, the calculation gives -0.3646 eV/atom.

=====

Record 2
TaMnPtRh | GGA-PBE | relaxed

a b c (Å): 6.3095 6.3095 6.3095
angles (deg): 90.00 90.00 90.00
Closest atoms and distances in Å follow each position.
Space group F-43m (No. 216)
Unique sites:
1 Ta 0.0000 0.0000 0.0000 x4  4 Pt 2.73, 4 Rh 2.73
2 Mn 0.0000 0.0000 0.5000 x4  4 Rh 2.73, 4 Pt 2.73
3 Pt 0.2500 0.2500 0.7500 x4  4 Ta 2.73, 4 Mn 2.73
4 Rh 0.2500 0.2500 0.2500 x4  4 Ta 2.73, 4 Mn 2.73

Properties
For the magnetic moment, the calculation gives 16.88 Bohr magnetons per cell. The energy above the most stable polymorph in this dataset comes out at 168 meV per atom. For the formation energy, the calculation gives -0.3629 eV/atom.

=====

Record 3
KCdFe2B | GGA-PBE | relaxed

a b c (Å): 4.6831 4.6831 4.7598
angles (deg): 90.00 90.00 90.00
Closest atoms and distances in Å follow each position.
Space group P4/mmm (No. 123)
Unique sites:
1 K 0.0000 0.0000 0.0000 x1  4 Fe 2.34, 2 B 2.38
2 Cd 0.5000 0.5000 0.5000 x1  4 B 3.31, 8 Fe 3.34
3 Fe 0.0000 0.5000 0.0000 x2  2 K 2.34
4 B 0.0000 0.0000 0.5000 x1  2 K 2.38

Properties
For the magnetic moment, the calculation gives 5.25 Bohr magnetons per cell. For the formation energy, the calculation gives 2.5839 eV/atom.

=====

Record 4
SrMgMo2 | GGA-PBE | relaxed

a b c (Å): 3.6976 3.6976 7.0159
angles (deg): 90.00 90.00 90.00
Closest atoms and distances in Å follow each position.
Space group P4/mmm (No. 123)
Unique sites:
1 Sr 0.0000 0.0000 0.0000 x1  2 Mg 3.51, 8 Mo 3.56, 4 Sr 3.70
2 Mg 0.0000 0.0000 0.5000 x1  8 Mo 2.83
3 Mo 0.5000 0.5000 0.3444 x2  1 Mo 2.18

Properties
For the magnetic moment, the calculation gives 0.00 Bohr magnetons per cell. For the formation energy, the calculation gives 0.7343 eV/atom.

=====

Record 5
TlGa3B4O12 | GGA-PBE | relaxed

a b c (Å): 9.5722 9.5722 7.5065
angles (deg): 90.00 90.00 120.00
Closest atoms and distances in Å follow each position.
Space group R32 (No. 155, hexagonal axes)
Unique sites:
1 Tl 0.0000 0.0000 0.0000 x3  6 O 2.36
2 Ga 0.0000 0.5514 0.0000 x9  6 O 1.97-2.01
3 B 0.0000 0.0000 0.5000 x3  3 O 1.39
4 B 0.0000 0.4497 0.5000 x9  3 O 1.37-1.39
5 O 0.0000 0.5934 0.5000 x9  1 B 1.37
6 O 0.0000 0.8551 0.5000 x9  1 B 1.39
7 O 0.0261 0.2133 0.1817 x18  1 B 1.39

Properties
As for the uncorrected formation energy: -1965.5 meV per atom. For the magnetic moment, the calculation gives 0.00 Bohr magnetons per cell.

=====

Record 6
CePm2Th | GGA-PBE | relaxed

a b c (Å): 5.0040 5.0040 5.1707
angles (deg): 90.00 90.00 90.00
Closest atoms and distances in Å follow each position.
Space group P4/mmm (No. 123)
Unique sites:
1 Ce 0.0000 0.0000 0.0000 x1  4 Th 3.54, 8 Pm 3.60
2 Pm 0.0000 0.5000 0.5000 x2  4 Pm 3.54, 4 Th 3.60, 4 Ce 3.60
3 Th 0.5000 0.5000 0.0000 x1  4 Ce 3.54, 8 Pm 3.60

Properties
For the magnetic moment, the calculation gives 0.91 Bohr magnetons per cell. The energy above the most stable polymorph in this dataset comes out at 18 meV per atom. For the formation energy, the calculation gives 0.1009 eV/atom.

=====

Q: What is the magnetic moment in the fourth record?
A: 0.00 Bohr magnetons per cell